(1)
TbHo4Lu: relaxed, PBE.

It has space group F-43m (No. 216), with a = 9.179 Å, b = 9.179 Å, c = 9.179 Å, α = 90.00°, β = 90.00° and γ = 90.00°. The distinct sites, in fractional coordinates, are Tb at (0.000, 0.000, 0.000), Ho at (0.125, 0.125, 0.375) and Lu at (0.250, 0.250, 0.750).

Its energy of formation is 0.2636 eV/atom.

(2)
Dy2HoSi2Rh5: relaxed, PBE.

It has space group P4/mbm (No. 127), with a = 9.967 Å, b = 9.967 Å, c = 3.534 Å, α = 90.00°, β = 90.00° and γ = 90.00°. The distinct sites, in fractional coordinates, are Dy at (0.174, 0.326, 0.000), Ho at (0.000, 0.000, 0.000), Si at (0.123, 0.623, 0.000), Rh at (0.000, 0.500, 0.500) and Rh at (0.070, 0.779, 0.500).

For the uncorrected formation energy, the calculation gives -974 kJ/mol of formula units.

(3)
RbLiSiH6: relaxed, PBE.

It has space group P312 (No. 149), with a = 4.7365 Å, b = 4.7365 Å, c = 5.7740 Å, α = 90.00°, β = 90.00° and γ = 120.00°. The distinct sites, in fractional coordinates, are Rb at (0.0000, 0.0000, 0.0000), Li at (0.3333, 0.6667, 0.5000), Si at (0.6667, 0.3333, 0.5000) and H at (0.3983, 0.0487, 0.6609).

The total energy comes out at -0.1218 Ha/atom.

(4)
NdIn12Cu4: relaxed, PBE.

It has space group Im-3 (No. 204), with a = 9.441 Å, b = 9.441 Å, c = 9.441 Å, α = 90.00°, β = 90.00° and γ = 90.00°. The distinct sites, in fractional coordinates, are Nd at (0.000, 0.000, 0.000), In at (0.000, 0.165, 0.337) and Cu at (0.250, 0.250, 0.250).

Its energy of formation is 0.0192 eV/atom.

(5)
Sc2NiP: relaxed, PBE.

It has space group F-43m (No. 216), with a = 6.319 Å, b = 6.319 Å, c = 6.319 Å, α = 90.00°, β = 90.00° and γ = 90.00°. The distinct sites, in fractional coordinates, are Sc at (0.000, 0.000, 0.000), Sc at (0.250, 0.250, 0.250), Ni at (0.000, 0.000, 0.500) and P at (0.250, 0.250, 0.750).

Its energy of formation is -0.1360 eV/atom.

(6)
DyHf4: relaxed, PBE.

It has space group Pm-3m (No. 221), with a = 5.084 Å, b = 5.084 Å, c = 5.084 Å, α = 90.00°, β = 90.00° and γ = 90.00°. The distinct sites, in fractional coordinates, are Dy at (0.000, 0.000, 0.000), Hf at (0.000, 0.000, 0.500) and Hf at (0.500, 0.500, 0.500).

Its energy of formation is 1.4982 eV/atom.

(7)
SrInHg2Au: relaxed, PBE.

It has space group P4/mmm (No. 123), with a = 5.430 Å, b = 5.430 Å, c = 6.586 Å, α = 90.00°, β = 90.00° and γ = 90.00°. The distinct sites, in fractional coordinates, are Sr at (0.000, 0.000, 0.000), In at (0.000, 0.000, 0.500), Hg at (0.000, 0.500, 0.500) and Au at (0.500, 0.500, 0.000).

Its energy of formation is 0.0916 eV/atom.

(8)
CaAsBr: relaxed, PBE.

It has space group P-6m2 (No. 187), with a = 4.9835 Å, b = 4.9835 Å, c = 3.7167 Å, α = 90.00°, β = 90.00° and γ = 120.00°. The distinct sites, in fractional coordinates, are Ca at (0.0000, 0.0000, 0.0000), As at (0.6667, 0.3333, 0.5000) and Br at (0.3333, 0.6667, 0.0000).

For the uncorrected formation energy, the calculation gives -157 kJ/mol of formula units. For the energy above the most stable polymorph in this dataset, the calculation gives 743 meV/atom.

(9)
ThCd2Hg: relaxed, PBE.

It has space group P4/mmm (No. 123), with a = 3.551 Å, b = 3.551 Å, c = 8.035 Å, α = 90.00°, β = 90.00° and γ = 90.00°. The distinct sites, in fractional coordinates, are Th at (0.000, 0.000, 0.000), Cd at (0.500, 0.500, 0.277) and Hg at (0.000, 0.000, 0.500).

For the energy above the most stable polymorph in this dataset, the calculation gives 102 meV/atom. Its energy of formation is -0.0676 eV/atom.

(10)
TeIr2Cl: relaxed, PBE.

It has space group R3m (No. 160, hexagonal axes), with a = 3.1150 Å, b = 3.1150 Å, c = 29.0245 Å, α = 90.00°, β = 90.00° and γ = 120.00°. The distinct sites, in fractional coordinates, are Te at (0.0000, 0.0000, 0.0000), Ir at (0.0000, 0.0000, 0.2578), Ir at (0.0000, 0.0000, 0.5255) and Cl at (0.0000, 0.0000, 0.7942).

For the uncorrected formation energy, the calculation gives 162 kJ/mol of formula units. For the energy above the most stable polymorph in this dataset, the calculation gives 320 meV/atom.

(11)
Rb4DyBr7: relaxed, PBE.

It has space group C2/m (No. 12), with a = 17.382 Å, b = 5.628 Å, c = 11.658 Å, α = 90.00°, β = 104.99° and γ = 90.00°. The distinct sites, in fractional coordinates, are Rb at (0.013, 0.000, 0.203), Rb at (0.246, 0.500, 0.175), Dy at (0.000, 0.500, 0.500), Br at (0.000, 0.000, 0.500), Br at (0.113, 0.500, 0.367), Br at (0.116, 0.500, 0.716) and Br at (0.145, 0.000, 0.038).

For the uncorrected formation energy, the calculation gives -2065 kJ/mol of formula units.

(12)
Sc2Mo: relaxed, PBE.

It has space group Pa-3 (No. 205), with a = 6.510 Å, b = 6.510 Å, c = 6.510 Å, α = 90.00°, β = 90.00° and γ = 90.00°. The distinct sites, in fractional coordinates, are Sc at (0.163, 0.163, 0.163) and Mo at (0.000, 0.000, 0.500).

For the energy above the most stable polymorph in this dataset, the calculation gives 650 meV/atom. Its energy of formation is 0.6638 eV/atom.

(13)
CeNpVN3: relaxed, PBE.

It has space group P2_1/m (No. 11), with a = 7.306 Å, b = 3.322 Å, c = 7.419 Å, α = 90.00°, β = 98.21° and γ = 90.00°. The distinct sites, in fractional coordinates, are Ce at (0.163, 0.250, 0.184), Np at (0.360, 0.750, 0.824), V at (0.101, 0.250, 0.590), N at (0.121, 0.250, 0.855), N at (0.174, 0.750, 0.468) and N at (0.413, 0.750, 0.126).

For the uncorrected formation energy, the calculation gives -612 kJ/mol of formula units.

(14)
CaMgGe2Pd5: relaxed, PBE.

It has space group P4/mmm (No. 123), with a = 4.283 Å, b = 4.283 Å, c = 8.810 Å, α = 90.00°, β = 90.00° and γ = 90.00°. The distinct sites, in fractional coordinates, are Ca at (0.000, 0.000, 0.000), Mg at (0.000, 0.000, 0.500), Ge at (0.500, 0.500, 0.364), Pd at (0.000, 0.500, 0.233) and Pd at (0.500, 0.500, 0.000).

Its energy of formation is -0.5310 eV/atom.

(15)
V3MoPb: relaxed, PBE.

It has space group Pm-3m (No. 221), with a = 4.622 Å, b = 4.622 Å, c = 4.622 Å, α = 90.00°, β = 90.00° and γ = 90.00°. The distinct sites, in fractional coordinates, are V at (0.000, 0.000, 0.500), Mo at (0.000, 0.000, 0.000) and Pb at (0.500, 0.500, 0.500).

For the energy above the most stable polymorph in this dataset, the calculation gives 0 meV/atom. Its energy of formation is 1.1080 eV/atom.

(16)
Na2CaPuS4: relaxed, PBE.

It has space group P2/m (No. 10), with a = 6.953 Å, b = 4.047 Å, c = 7.008 Å, α = 90.00°, β = 109.12° and γ = 90.00°. The distinct sites, in fractional coordinates, are Na at (0.000, 0.000, 0.000), Na at (0.500, 0.500, 0.000), Ca at (0.000, 0.500, 0.500), Pu at (0.500, 0.000, 0.500), S at (0.259, 0.000, 0.727) and S at (0.271, 0.500, 0.276).

For the uncorrected formation energy, the calculation gives -1194 kJ/mol of formula units.

(17)
NbSe2O2: relaxed, PBE.

It has space group I4/mmm (No. 139), with a = 3.252 Å, b = 3.252 Å, c = 17.211 Å, α = 90.00°, β = 90.00° and γ = 90.00°. The distinct sites, in fractional coordinates, are Nb at (0.000, 0.000, 0.000), Se at (0.000, 0.500, 0.250) and O at (0.000, 0.000, 0.433).

For the uncorrected formation energy, the calculation gives 81 kJ/mol of formula units. For the energy above the most stable polymorph in this dataset, the calculation gives 1130 meV/atom.

(18)
CuOs2Pt: relaxed, PBE.

It has space group Cm (No. 8), with a = 8.976 Å, b = 2.708 Å, c = 4.747 Å, α = 90.00°, β = 99.00° and γ = 90.00°. The distinct sites, in fractional coordinates, are Cu at (0.000, 0.000, 0.000), Os at (0.002, 0.500, 0.520), Os at (0.246, 0.000, 0.720) and Pt at (0.252, 0.500, 0.218).

For the energy above the most stable polymorph in this dataset, the calculation gives 94 meV/atom. Its energy of formation is 0.1821 eV/atom.

(19)
Ba6Ag2NCl: relaxed, PBE.

It has space group P2_1/c (No. 14), with a = 7.853 Å, b = 8.572 Å, c = 13.787 Å, α = 90.00°, β = 123.98° and γ = 90.00°. The distinct sites, in fractional coordinates, are Ba at (0.119, 0.030, 0.230), Ba at (0.219, 0.715, 0.055), Ba at (0.348, 0.172, 0.054), Ag at (0.290, 0.090, 0.750), N at (0.000, 0.000, 0.000) and Cl at (0.500, 0.000, 0.500).

For the uncorrected formation energy, the calculation gives -567 kJ/mol of formula units.

(20)
Ba3Cd4Au4: relaxed, PBE.

It has space group P-1 (No. 2), with a = 4.461 Å, b = 4.780 Å, c = 15.492 Å, α = 98.72°, β = 98.23° and γ = 90.03°. The distinct sites, in fractional coordinates, are Ba at (0.000, 0.000, 0.000), Ba at (0.148, 0.650, 0.296), Cd at (0.252, 0.251, 0.503), Cd at (0.404, 0.901, 0.806), Au at (0.308, 0.808, 0.618) and Au at (0.456, 0.450, 0.906).

For the energy above the most stable polymorph in this dataset, the calculation gives 13 meV/atom. Its energy of formation is -0.5353 eV/atom.